# Cs3BrCl

A relaxed Cs3BrCl crystal (PBE-GGA, Alexandria).

Unit cell a=6.813 b=6.813 c=6.813 alpha=90.00 beta=90.00 gamma=90.00
Positions (direct):
Cs (0.000, 0.000, 0.500)
Cs (0.000, 0.500, 0.000)
Cs (0.500, 0.000, 0.000)
Br (0.500, 0.500, 0.500)
Cl (0.000, 0.000, 0.000)

Values from the calculation:
As for the mass density: 2700 kg/m3. As for the energy above the most stable polymorph in this dataset: 0.198 eV per atom. The calculation puts the raw formation energy at -1.2524 eV per atom. Its symmetry is Pm-3m, No. 221. The value obtained for the electronic total energy is -2.47 eV/atom.

***

# Th2Al3Zn5

A relaxed Th2Al3Zn5 crystal (PBE-GGA, Alexandria).

Unit cell a=8.571 b=8.571 c=8.571 alpha=104.18 beta=90.20 gamma=138.72
Positions (direct):
Th (0.124, 0.246, 0.370)
Th (0.376, 0.746, 0.121)
Th (0.624, 0.254, 0.879)
Th (0.876, 0.754, 0.630)
Al (0.129, 0.872, 0.002)
Al (0.250, 0.750, 0.500)
Al (0.371, 0.372, 0.743)
Al (0.629, 0.628, 0.257)
Al (0.750, 0.250, 0.500)
Al (0.871, 0.128, 0.998)
Zn (0.010, 0.750, 0.260)
Zn (0.124, 0.639, 0.762)
Zn (0.250, 0.250, 0.000)
Zn (0.376, 0.139, 0.515)
Zn (0.490, 0.750, 0.740)
Zn (0.510, 0.250, 0.260)
Zn (0.624, 0.861, 0.485)
Zn (0.750, 0.750, 0.000)
Zn (0.876, 0.361, 0.238)
Zn (0.990, 0.250, 0.740)

Values from the calculation:
As for the mass density: 7521 kg/m3. For the formation enthalpy at 0 K, the calculation gives -0.358 eV per atom. Its symmetry is Ibam, No. 72. The value obtained for the electronic total energy is -3.60 eV/atom.

***

# La4SBr5

A relaxed La4SBr5 crystal (PBE-GGA, Alexandria).

Unit cell a=9.611 b=9.611 c=8.708 alpha=103.69 beta=103.69 gamma=24.91
Positions (direct):
La (0.002, 0.002, 0.280)
La (0.349, 0.349, 0.420)
La (0.651, 0.651, 0.580)
La (0.998, 0.998, 0.720)
S (0.500, 0.500, 0.500)
Br (0.165, 0.165, 0.842)
Br (0.172, 0.172, 0.328)
Br (0.500, 0.500, 0.000)
Br (0.828, 0.828, 0.672)
Br (0.835, 0.835, 0.158)

Values from the calculation:
As for the mass density: 4988 kg/m3. The calculation puts the raw formation energy at -1.8273 eV per atom. Its symmetry is C2/m, No. 12. The value obtained for the electronic total energy is -5.05 eV/atom.